Computed, not measured: YErMgTl after structural relaxation at the PBE level of DFT.

Cell: 5.319 5.319 5.319 Å, 60.00 60.00 60.00°
Fractional positions:
Y1 0.000 0.000 0.000
Er1 0.500 0.500 0.500
Mg1 0.250 0.250 0.250
Tl1 0.750 0.750 0.750

- ΔE_f: -0.24 eV per atom
- Spin magnetization: 0.0 μB/f.u.
- Volume: 26.605 Å³ per atom
- Mass density: 7.57 g/cm³

Computed, not measured: K3Tm3BiO8 after structural relaxation at the PBE level of DFT.

Cell: 7.469 7.469 7.469 Å, 54.60 54.60 54.60°
Fractional positions:
K1 0.000 0.500 0.500
K2 0.500 0.000 0.500
K3 0.500 0.500 0.000
Tm1 0.000 0.000 0.500
Tm2 0.000 0.500 0.000
Tm3 0.500 0.000 0.000
Bi1 0.500 0.500 0.500
O1 0.225 0.225 0.225
O2 0.227 0.727 0.727
O3 0.273 0.273 0.773
O4 0.273 0.773 0.273
O5 0.727 0.227 0.727
O6 0.727 0.727 0.227
O7 0.773 0.273 0.273
O8 0.775 0.775 0.775

- Spin magnetization: 0.0 μB/f.u.
- Raw formation energy: -2.469 eV per atom
- Volume: 17.171 Å³ per atom
- Mass density: 6.20 g/cm³

Computed, not measured: LiYZr2 after structural relaxation at the PBE level of DFT.

Cell: 5.306 5.306 3.363 Å, 90.00 90.00 90.00°
Fractional positions:
Li1 0.000 0.000 0.000
Y1 0.500 0.500 0.000
Zr1 0.000 0.500 0.500
Zr2 0.500 0.000 0.500

- Excess energy over the best structure of this formula in the dataset: 268 meV per atom
- ΔE_f: 0.39 eV per atom
- Spin magnetization: 0.0 μB/f.u.
- Volume: 23.665 Å³ per atom
- Mass density: 4.88 g/cm³

Computed, not measured: ErNiH after structural relaxation at the PBE level of DFT.

Cell: 7.274 5.022 4.464 Å, 90.00 90.00 90.00°
Fractional positions:
Er1 0.195 0.004 0.250
Er2 0.195 0.496 0.750
Er3 0.805 0.504 0.250
Er4 0.805 0.996 0.750
Ni1 0.443 0.606 0.250
Ni2 0.443 0.894 0.750
Ni3 0.557 0.106 0.250
Ni4 0.557 0.394 0.750
H1 0.001 0.750 0.000
H2 0.001 0.750 0.500
H3 0.999 0.250 0.000
H4 0.999 0.250 0.500

- Excess energy over the best structure of this formula in the dataset: 0 meV per atom
- Spin magnetization: 0.0 μB/f.u.
- Volume: 13.589 Å³ per atom
- Mass density: 9.24 g/cm³

Computed, not measured: Sc6GaSe3S2 after structural relaxation at the PBE level of DFT.

Cell: 8.594 8.594 7.777 Å, 103.88 103.88 25.19°
Fractional positions:
Sc1 0.004 0.004 0.249
Sc2 0.327 0.327 0.430
Sc3 0.336 0.336 0.903
Sc4 0.664 0.664 0.097
Sc5 0.673 0.673 0.570
Sc6 0.996 0.996 0.751
Ga1 0.500 0.500 0.000
Se1 0.167 0.167 0.830
Se2 0.500 0.500 0.500
Se3 0.833 0.833 0.170
S1 0.167 0.167 0.335
S2 0.833 0.833 0.665

- Spin magnetization: 0.0 μB/f.u.
- Raw formation energy: -1.524 eV per atom
- Volume: 19.749 Å³ per atom
- Mass density: 4.49 g/cm³

Computed, not measured: Dy2SnPb4 after structural relaxation at the PBE level of DFT.

Cell: 6.651 6.651 6.641 Å, 118.36 118.36 92.67°
Fractional positions:
Dy1 0.000 0.500 0.000
Dy2 0.500 0.000 0.000
Sn1 0.000 0.000 0.500
Pb1 0.000 0.000 0.000
Pb2 0.000 0.500 0.500
Pb3 0.500 0.000 0.500
Pb4 0.500 0.500 0.000

- ΔE_f: -0.25 eV per atom
- Spin magnetization: 0.0 μB/f.u.
- Volume: 30.424 Å³ per atom
- Mass density: 9.92 g/cm³

Computed, not measured: TbErTe2O after structural relaxation at the PBE level of DFT.

Cell: 4.122 4.122 15.702 Å, 90.00 90.00 90.00°
Fractional positions:
Tb1 0.250 0.250 0.066
Tb2 0.750 0.750 0.934
Er1 0.250 0.250 0.633
Er2 0.750 0.750 0.367
Te1 0.250 0.250 0.417
Te2 0.250 0.250 0.814
Te3 0.750 0.750 0.186
Te4 0.750 0.750 0.583
O1 0.250 0.750 0.000
O2 0.750 0.250 0.000

- Spin magnetization: 0.0 μB/f.u.
- Raw formation energy: -2.064 eV per atom
- Volume: 26.677 Å³ per atom
- Mass density: 7.44 g/cm³

Computed, not measured: LaPr15Tm4 after structural relaxation at the PBE level of DFT.

Cell: 5.197 5.197 25.932 Å, 90.00 90.00 90.00°
Fractional positions:
La1 0.000 0.000 0.000
Pr1 0.000 0.500 0.103
Pr2 0.000 0.500 0.302
Pr3 0.000 0.500 0.500
Pr4 0.000 0.500 0.698
Pr5 0.000 0.500 0.897
Pr6 0.500 0.000 0.103
Pr7 0.500 0.000 0.302
Pr8 0.500 0.000 0.500
Pr9 0.500 0.000 0.698
Pr10 0.500 0.000 0.897
Pr11 0.500 0.500 0.000
Pr12 0.500 0.500 0.203
Pr13 0.500 0.500 0.401
Pr14 0.500 0.500 0.599
Pr15 0.500 0.500 0.797
Tm1 0.000 0.000 0.202
Tm2 0.000 0.000 0.401
Tm3 0.000 0.000 0.599
Tm4 0.000 0.000 0.798

- ΔE_f: 0.01 eV per atom
- Spin magnetization: 0.0 μB/f.u.
- Volume: 35.024 Å³ per atom
- Mass density: 6.94 g/cm³